Model 1:
DFT (PBE) results for a relaxed structure of Pr2ScTe3. Values from VASP.

Structure (Quantum ESPRESSO input):
```
&SYSTEM
  ibrav = 0, nat = 24, ntyp = 3
/
ATOMIC_SPECIES
Pr 140.91 Pr.upf
Sc 44.96 Sc.upf
Te 127.60 Te.upf
CELL_PARAMETERS angstrom
0.000 6.235 13.078
4.471 0.000 13.078
4.471 6.235 0.000
ATOMIC_POSITIONS angstrom
Pr 1.118 1.559 1.232
Pr 3.353 4.676 3.166
Pr 1.118 1.559 5.307
Pr 5.589 7.794 9.705
Pr 3.353 4.676 16.451
Pr 7.825 10.911 20.849
Pr 5.589 7.794 22.990
Pr 7.825 10.911 24.925
Sc 3.353 4.676 7.710
Sc 3.353 4.676 11.907
Sc 5.589 7.794 14.249
Sc 5.589 7.794 18.446
Te 3.470 1.682 7.501
Te 5.385 4.676 9.809
Te 3.237 1.682 12.116
Te 5.473 4.800 14.040
Te 7.621 7.794 16.348
Te 5.705 4.800 18.655
Te 3.237 7.670 7.501
Te 1.322 4.676 9.809
Te 3.470 7.670 12.116
Te 5.705 10.787 14.040
Te 3.557 7.794 16.348
Te 5.473 10.787 18.655
```

SG = No. 70
total magnetization = 0.00 μB/cell

Model 2:
DFT (PBE) results for a relaxed structure of Pr2ScTe3. Values from VASP.

Structure (Quantum ESPRESSO input):
```
&SYSTEM
  ibrav = 0, nat = 6, ntyp = 3
/
ATOMIC_SPECIES
Pr 140.91 Pr.upf
Sc 44.96 Sc.upf
Te 127.60 Te.upf
CELL_PARAMETERS angstrom
-2.054 2.678 8.608
2.054 -2.678 8.608
2.054 2.678 -8.608
ATOMIC_POSITIONS angstrom
Pr 0.000 0.000 2.463
Pr 0.000 0.000 14.752
Sc 0.000 0.000 8.608
Te 2.054 0.000 0.000
Te 0.000 0.000 5.685
Te 0.000 0.000 11.530
```

SG = No. 71
total magnetization = 0.00 μB/cell

model 1 comes first in stability; the runner-up is 167 meV/atom higher.

Model 1:
DFT (PBE) results for a relaxed structure of PrScTe2. Values from VASP.

Structure (Quantum ESPRESSO input):
```
&SYSTEM
  ibrav = 0, nat = 4, ntyp = 3
/
ATOMIC_SPECIES
Pr 140.91 Pr.upf
Sc 44.96 Sc.upf
Te 127.60 Te.upf
CELL_PARAMETERS angstrom
-2.030 2.030 7.424
2.030 -2.030 7.424
2.030 2.030 -7.424
ATOMIC_POSITIONS angstrom
Pr 0.000 0.000 0.000
Sc 2.030 0.000 3.712
Te 0.000 0.000 5.668
Te 0.000 0.000 9.180
```

SG = No. 119
total magnetization = 0.00 μB/cell

Model 2:
DFT (PBE) results for a relaxed structure of PrScTe2. Values from VASP.

Structure (Quantum ESPRESSO input):
```
&SYSTEM
  ibrav = 0, nat = 4, ntyp = 3
/
ATOMIC_SPECIES
Pr 140.91 Pr.upf
Sc 44.96 Sc.upf
Te 127.60 Te.upf
CELL_PARAMETERS angstrom
5.352 0.000 0.000
0.000 5.352 0.000
0.000 0.000 3.806
ATOMIC_POSITIONS angstrom
Pr 0.000 0.000 0.000
Sc 2.676 2.676 0.000
Te 0.000 2.676 1.903
Te 2.676 0.000 1.903
```

SG = No. 123
total magnetization = 1.17 μB/cell

model 1 comes first in stability; the runner-up is 20 meV/atom higher.

Model 1:
DFT (PBE) results for a relaxed structure of Pr2ThSc. Values from VASP.

Structure (Quantum ESPRESSO input):
```
&SYSTEM
  ibrav = 0, nat = 4, ntyp = 3
/
ATOMIC_SPECIES
Pr 140.91 Pr.upf
Th 232.04 Th.upf
Sc 44.96 Sc.upf
CELL_PARAMETERS angstrom
0.000 4.007 4.007
4.007 0.000 4.007
4.007 4.007 0.000
ATOMIC_POSITIONS angstrom
Pr 2.004 2.004 2.004
Pr 6.011 6.011 6.011
Th 0.000 0.000 0.000
Sc 4.007 4.007 4.007
```

SG = No. 225
total magnetization = 0.00 μB/cell

Model 2:
DFT (PBE) results for a relaxed structure of Pr2ThSc. Values from VASP.

Structure (Quantum ESPRESSO input):
```
&SYSTEM
  ibrav = 0, nat = 4, ntyp = 3
/
ATOMIC_SPECIES
Pr 140.91 Pr.upf
Th 232.04 Th.upf
Sc 44.96 Sc.upf
CELL_PARAMETERS angstrom
1.794 1.036 11.528
-1.794 1.036 11.528
0.000 -2.072 11.528
ATOMIC_POSITIONS angstrom
Pr 0.000 0.000 0.000
Pr 0.000 0.000 5.617
Th 0.000 0.000 20.084
Sc 0.000 0.000 25.855
```

SG = No. 160
total magnetization = 0.00 μB/cell

Model 3:
DFT (PBE) results for a relaxed structure of Pr2ThSc. Values from VASP.

Structure (Quantum ESPRESSO input):
```
&SYSTEM
  ibrav = 0, nat = 4, ntyp = 3
/
ATOMIC_SPECIES
Pr 140.91 Pr.upf
Th 232.04 Th.upf
Sc 44.96 Sc.upf
CELL_PARAMETERS angstrom
1.735 1.002 12.451
-1.735 1.002 12.451
0.000 -2.004 12.451
ATOMIC_POSITIONS angstrom
Pr 0.000 0.000 3.428
Pr 0.000 0.000 33.926
Th 0.000 0.000 0.000
Sc 0.000 0.000 18.677
```

SG = No. 166
total magnetization = 0.00 μB/cell

model 2 comes first in stability; the runner-up is 131 meV/atom higher.

Model 1:
DFT (PBE) results for a relaxed structure of Pr2ThSc. Values from VASP.

Structure (Quantum ESPRESSO input):
```
&SYSTEM
  ibrav = 0, nat = 4, ntyp = 3
/
ATOMIC_SPECIES
Pr 140.91 Pr.upf
Th 232.04 Th.upf
Sc 44.96 Sc.upf
CELL_PARAMETERS angstrom
5.015 0.000 0.000
0.000 5.015 0.000
0.000 0.000 5.083
ATOMIC_POSITIONS angstrom
Pr 0.000 2.508 0.000
Pr 2.508 0.000 0.000
Th 0.000 0.000 2.541
Sc 2.508 2.508 2.541
```

SG = No. 123
total magnetization = 0.00 μB/cell

Model 2:
DFT (PBE) results for a relaxed structure of Pr2ThSc. Values from VASP.

Structure (Quantum ESPRESSO input):
```
&SYSTEM
  ibrav = 0, nat = 4, ntyp = 3
/
ATOMIC_SPECIES
Pr 140.91 Pr.upf
Th 232.04 Th.upf
Sc 44.96 Sc.upf
CELL_PARAMETERS angstrom
3.594 0.000 0.000
0.000 3.594 0.000
0.000 0.000 9.956
ATOMIC_POSITIONS angstrom
Pr 0.000 0.000 2.416
Pr 0.000 0.000 7.541
Th 1.797 1.797 4.978
Sc 1.797 1.797 0.000
```

SG = No. 123
total magnetization = 0.00 μB/cell

model 1 comes first in stability; the runner-up is 12 meV/atom higher.

Model 1:
DFT (PBE) results for a relaxed structure of PrTh2Sc5. Values from VASP.

Structure (Quantum ESPRESSO input):
```
&SYSTEM
  ibrav = 0, nat = 32, ntyp = 3
/
ATOMIC_SPECIES
Pr 140.91 Pr.upf
Th 232.04 Th.upf
Sc 44.96 Sc.upf
CELL_PARAMETERS angstrom
8.078 0.000 0.000
2.193 10.261 0.000
1.987 0.229 10.783
ATOMIC_POSITIONS angstrom
Pr 1.800 3.069 1.879
Pr 2.602 7.445 1.007
Pr 9.656 3.045 9.776
Pr 10.458 7.421 8.904
Th 5.828 9.511 5.796
Th 4.377 3.565 4.442
Th 5.325 7.120 3.530
Th 3.929 0.528 2.562
Th 8.329 9.962 8.221
Th 6.933 3.371 7.253
Th 7.881 6.926 6.341
Th 6.430 0.979 4.988
Sc 2.849 10.161 2.812
Sc 2.179 5.946 3.956
Sc 1.582 1.878 5.181
Sc 3.642 0.474 10.510
Sc 4.546 4.869 9.437
Sc 3.950 2.126 7.570
Sc 4.650 6.184 6.497
Sc 5.700 8.014 8.779
Sc 4.537 4.919 1.330
Sc 6.336 2.424 10.381
Sc 5.922 8.067 0.402
Sc 7.721 5.572 9.453
Sc 6.558 2.476 2.004
Sc 7.608 4.306 4.286
Sc 8.308 8.364 3.213
Sc 7.712 5.621 1.346
Sc 8.616 10.016 0.273
Sc 10.676 8.612 5.602
Sc 10.079 4.545 6.827
Sc 9.409 0.330 7.971
```

SG = No. 2
total magnetization = 0.00 μB/cell

Model 2:
DFT (PBE) results for a relaxed structure of PrTh2Sc5. Values from VASP.

Structure (Quantum ESPRESSO input):
```
&SYSTEM
  ibrav = 0, nat = 8, ntyp = 3
/
ATOMIC_SPECIES
Pr 140.91 Pr.upf
Th 232.04 Th.upf
Sc 44.96 Sc.upf
CELL_PARAMETERS angstrom
-2.576 4.614 5.029
2.576 -4.614 5.029
2.576 4.614 -5.029
ATOMIC_POSITIONS angstrom
Pr 0.000 0.000 0.000
Th 2.576 0.000 1.958
Th 0.000 4.614 3.071
Sc 2.576 3.106 -1.680
Sc 0.000 1.508 3.349
Sc 0.000 4.614 0.000
Sc 2.576 3.106 1.680
Sc 0.000 1.508 6.709
```

SG = No. 71
total magnetization = 0.00 μB/cell

model 1 comes first in stability; the runner-up is 288 meV/atom higher.

Model 1:
DFT (PBE) results for a relaxed structure of PrSc2Ti. Values from VASP.

Structure (Quantum ESPRESSO input):
```
&SYSTEM
  ibrav = 0, nat = 4, ntyp = 3
/
ATOMIC_SPECIES
Pr 140.91 Pr.upf
Sc 44.96 Sc.upf
Ti 47.87 Ti.upf
CELL_PARAMETERS angstrom
4.599 0.000 0.000
0.000 4.599 0.000
0.000 0.000 4.680
ATOMIC_POSITIONS angstrom
Pr 0.000 0.000 0.000
Sc 0.000 2.300 2.340
Sc 2.300 0.000 2.340
Ti 2.300 2.300 0.000
```

SG = No. 123
total magnetization = 0.19 μB/cell

Model 2:
DFT (PBE) results for a relaxed structure of PrSc2Ti. Values from VASP.

Structure (Quantum ESPRESSO input):
```
&SYSTEM
  ibrav = 0, nat = 4, ntyp = 3
/
ATOMIC_SPECIES
Pr 140.91 Pr.upf
Sc 44.96 Sc.upf
Ti 47.87 Ti.upf
CELL_PARAMETERS angstrom
3.571 0.000 0.000
0.000 3.571 0.000
0.000 0.000 8.022
ATOMIC_POSITIONS angstrom
Pr 0.000 0.000 0.000
Sc 1.785 1.785 2.399
Sc 1.785 1.785 5.623
Ti 0.000 0.000 4.011
```

SG = No. 123
total magnetization = 2.07 μB/cell

model 2 comes first in stability; the runner-up is 44 meV/atom higher.